An optimized crystal structure of La5YTm2, computed with PBE.

The structure in POSCAR format:
```
La5YTm2
1.0
9.327 0.000 0.000
0.000 9.327 0.000
-4.664 -4.664 6.458
La Tm Y
10 4 2
Direct
0.816 0.018 0.334
0.018 0.518 0.334
0.316 0.816 0.334
0.000 0.000 0.000
0.982 0.482 0.666
0.482 0.684 0.666
0.684 0.184 0.666
0.500 0.500 0.000
0.184 0.982 0.666
0.518 0.316 0.334
0.146 0.354 0.000
0.854 0.646 0.000
0.354 0.854 0.000
0.646 0.146 0.000
0.750 0.750 0.500
0.250 0.250 0.500
```

Output
VASP energy ... -4.873 eV/atom
Polymorph energy (0 for the lowest one) ... 0 meV per atom
Space-group type ... I4/mcm
Total magnetic moment ... 0.7 μB per cell

***

An optimized crystal structure of PrNdGd2, computed with PBE.

The structure in POSCAR format:
```
PrNdGd2
1.0
5.126 0.000 0.000
0.000 5.154 0.000
0.000 0.000 5.154
Gd Pr Nd
2 1 1
Direct
0.000 0.000 0.500
0.000 0.500 0.000
0.500 0.500 0.500
0.500 0.000 0.000
```

Output
VASP energy ... -9.413 eV/atom
Polymorph energy (0 for the lowest one) ... 0 meV per atom
Space-group type ... P4/mmm
Total magnetic moment ... 14.7 μB per cell

***

An optimized crystal structure of Pr2Sm8Dy, computed with PBE.

The structure in POSCAR format:
```
Pr2Sm8Dy
1.0
-0.473 4.005 -3.187
-6.375 -3.590 -3.565
-3.343 3.054 8.480
Sm Pr Dy
8 2 1
Direct
0.135 0.178 0.270
0.319 0.091 0.638
0.045 0.728 0.090
0.681 0.909 0.362
0.590 0.452 0.180
0.955 0.272 0.910
0.410 0.548 0.820
0.865 0.822 0.730
0.227 0.637 0.454
0.773 0.363 0.546
0.500 0.000 0.000
```

Output
VASP energy ... -4.704 eV/atom
Polymorph energy (0 for the lowest one) ... 0 meV per atom
Space-group type ... C2/m
Total magnetic moment ... 0.0 μB per cell